Entry 1:
Here is a crystal of LiHRhO2 relaxed with PBEsol from the Alexandria database. Energies are from SCAN.

Cell lengths 3.3279, 3.8382, 3.8382 Å; angles 90.00, 90.00, 90.00 degrees
Each line ends with the local moment (μB).
Positions (direct):
Li (0.5000, 0.5000, 0.5000)  0.00
H (0.5000, 0.0000, 0.0000)  0.00
O (0.0000, 0.0000, 0.5000)  0.28
O (0.0000, 0.5000, 0.0000)  0.28
Rh (0.0000, 0.0000, 0.0000)  0.70

Its crystal system is tetragonal. For the total energy, the calculation gives -11.22 eV/atom.

---

Entry 2:
Here is a crystal of InHIr3 relaxed with PBEsol from the Alexandria database. Energies are from SCAN.

Cell lengths 3.9863, 3.9863, 3.9863 Å; angles 90.00, 90.00, 90.00 degrees
Positions (direct):
In (0.5000, 0.5000, 0.5000)
Ir (0.5000, 0.0000, 0.0000)
H (0.0000, 0.0000, 0.0000)
Ir (0.0000, 0.5000, 0.0000)
Ir (0.0000, 0.0000, 0.5000)

Its crystal system is cubic. For the total energy, the calculation gives -49.88 eV/atom.

---

Entry 3:
Here is a crystal of Be2AlMoP relaxed with PBEsol from the Alexandria database. Energies are from SCAN.

Cell lengths 4.3700, 4.3700, 4.4794 Å; angles 90.00, 90.00, 90.00 degrees
Positions (direct):
Be (0.0000, 0.5000, 0.0000)
Mo (0.0000, 0.0000, 0.0000)
Be (0.5000, 0.0000, 0.0000)
Al (0.5000, 0.5000, 0.5000)
P (0.0000, 0.0000, 0.5000)

The formation energy is 0.85 eV/atom. Its crystal system is tetragonal.

---

Entry 4:
Here is a crystal of AlReSe3 relaxed with PBEsol from the Alexandria database. Energies are from SCAN.

Cell lengths 4.8620, 4.8620, 4.8620 Å; angles 90.00, 90.00, 90.00 degrees
Positions (direct):
Se (0.5000, 0.0000, 0.0000)
Se (0.0000, 0.5000, 0.0000)
Al (0.5000, 0.5000, 0.5000)
Re (0.0000, 0.0000, 0.0000)
Se (0.0000, 0.0000, 0.5000)

Its crystal system is cubic. Its raw formation energy is 568 meV per atom.

---

Entry 5:
Here is a crystal of K2CdSe relaxed with PBEsol from the Alexandria database. Energies are from SCAN.

Cell lengths 5.9495, 5.9495, 10.6714 Å; angles 106.19, 106.19, 90.00 degrees
Positions (direct):
Cd (0.2500, 0.7500, 0.5000)
K (0.1250, 0.1796, 0.7500)
K (0.4296, 0.8750, 0.2500)
K (0.8204, 0.3750, 0.2500)
K (0.6250, 0.5704, 0.7500)
Cd (0.0000, 0.0000, 0.0000)
Se (0.5000, 0.5000, 0.0000)
Se (0.7500, 0.2500, 0.5000)

Its crystal system is tetragonal. Its raw formation energy is -455 meV per atom.

---

Entry 6:
Here is a crystal of ScNiAs2 relaxed with PBEsol from the Alexandria database. Energies are from SCAN.

Cell lengths 2.9156, 3.4956, 6.1441 Å; angles 90.00, 90.00, 90.00 degrees
Positions (direct):
Sc (0.5000, 0.5000, 0.5000)
As (0.0000, 0.0000, 0.7759)
Ni (0.5000, 0.5000, 0.0000)
As (0.0000, 0.0000, 0.2241)

The formation energy is -0.32 eV/atom. Its crystal system is orthorhombic.

---

Number 1: total magnetization 0.267 μB per atom. Number 2: total magnetization 0.000 μB per atom. Number 3: total magnetization 0.000 μB per atom. Number 4: total magnetization 0.000 μB per atom. Number 5: total magnetization 0.000 μB per atom. Number 6: total magnetization 0.000 μB per atom.